(1)
This record from the Alexandria database describes a relaxed structure of TlHgI5. The functional is GGA-PBE.

Values from the calculation:
The raw formation energy is -304 meV per atom.

Cell: 6.8858 9.2225 11.4676 Å, 70.28 88.44 86.67°
Space group P-1 (No. 2)
Symmetry-distinct sites (fractional):
Tl: 0.2359 0.2551 0.1281 x2
Hg: 0.5000 0.0000 0.5000 x1
Hg: 0.5000 0.5000 0.5000 x1
I: 0.2221 0.3827 0.4108 x2
I: 0.2304 0.8863 0.4011 x2
I: 0.2474 0.5547 0.8400 x2
I: 0.2486 0.2217 0.8372 x2
I: 0.2555 0.8933 0.8416 x2


(2)
This record from the Alexandria database describes a relaxed structure of MgNi2Cl. The functional is GGA-PBE.

Values from the calculation:
The raw formation energy is 265 meV per atom.

Cell: 4.4430 4.4430 14.2700 Å, 90.00 90.00 90.00°
Space group I-42d (No. 122)
Symmetry-distinct sites (fractional):
Mg: 0.0000 0.0000 0.0000 x4
Ni: 0.1178 0.2500 0.6250 x8
Cl: 0.0000 0.0000 0.5000 x4


(3)
This record from the Alexandria database describes a relaxed structure of CaPb2C. The functional is GGA-PBE.

Values from the calculation:
The total energy is -65.134 eV per cell.

Cell: 8.7392 8.7392 5.3052 Å, 90.00 90.00 90.00°
Space group I-42d (No. 122)
Symmetry-distinct sites (fractional):
Ca: 0.0000 0.0000 0.0000 x4
Pb: 0.1406 0.2500 0.6250 x8
C: 0.0000 0.0000 0.5000 x4


(4)
This record from the Alexandria database describes a relaxed structure of PaTlPN4. The functional is GGA-PBE.

Values from the calculation:
The raw formation energy is -464 meV per atom.

Cell: 5.7468 5.3248 8.1590 Å, 90.00 105.49 90.00°
Space group P2_1/m (No. 11)
Symmetry-distinct sites (fractional):
Pa: 0.2437 0.2500 0.0624 x2
Tl: 0.2798 0.2500 0.5941 x2
P: 0.2408 0.7500 0.8514 x2
N: 0.0561 0.5104 0.8413 x4
N: 0.4196 0.7500 0.7260 x2
N: 0.4233 0.7500 0.0485 x2


(5)
This record from the Alexandria database describes a relaxed structure of K4Ac3InSe8. The functional is GGA-PBE.

Values from the calculation:
The raw formation energy is -1531 meV per atom.

Cell: 8.9357 8.9357 23.3242 Å, 90.00 90.00 120.00°
Space group R-3m (No. 166, hexagonal axes)
Symmetry-distinct sites (fractional):
K: 0.0000 0.0000 0.0000 x3
K: 0.0000 0.5000 0.0000 x9
Ac: 0.0000 0.5000 0.5000 x9
In: 0.0000 0.0000 0.5000 x3
Se: 0.0000 0.0000 0.2403 x6
Se: 0.0203 0.5102 0.2374 x18


(6)
This record from the Alexandria database describes a relaxed structure of MnCoAg2. The functional is GGA-PBE.

Values from the calculation:
The total energy is -60.603 eV per cell.

Cell: 2.7640 2.7640 27.6888 Å, 90.00 90.00 120.00°
Space group R-3m (No. 166, hexagonal axes)
Symmetry-distinct sites (fractional):
Mn: 0.0000 0.0000 0.0000 x3
Co: 0.0000 0.0000 0.5000 x3
Ag: 0.0000 0.0000 0.2483 x6


(7)
This record from the Alexandria database describes a relaxed structure of YTi2Cl. The functional is GGA-PBE.

Values from the calculation:
The raw formation energy is -67 meV per atom.

Cell: 7.8032 7.8032 5.4049 Å, 90.00 90.00 90.00°
Space group I-42d (No. 122)
Symmetry-distinct sites (fractional):
Y: 0.0000 0.0000 0.0000 x4
Ti: 0.1610 0.7500 0.6250 x8
Cl: 0.0000 0.0000 0.5000 x4


(8)
This record from the Alexandria database describes a relaxed structure of LiTaPb. The functional is GGA-PBE.

Values from the calculation:
The total energy is -65.397 eV per cell.

Cell: 3.8596 4.6073 13.9832 Å, 90.00 90.00 90.00°
Space group Fmm2 (No. 42)
Symmetry-distinct sites (fractional):
Li: 0.0000 0.0000 0.0000 x4
Ta: 0.0000 0.0000 0.3349 x4
Pb: 0.0000 0.0000 0.6669 x4